This record from the Alexandria database describes a geometry-optimized BaIn2Os structure. The functional is PBE-GGA.

Structure (CIF):
```
data_BaIn2Os
_symmetry_space_group_name_H-M 'I 4/m m m'
_symmetry_Int_Tables_number 139
_symmetry_space_group_name_Hall '-I 4 2'
_cell_length_a 4.928
_cell_length_b 4.928
_cell_length_c 8.093
_cell_angle_alpha 90.00
_cell_angle_beta 90.00
_cell_angle_gamma 90.00
loop_
_atom_site_label
_atom_site_fract_x
_atom_site_fract_y
_atom_site_fract_z
_atom_site_occupancy
Ba1 0.000 0.000 0.000 1
In1 0.000 0.500 0.250 1
Os1 0.000 0.000 0.500 1
```

***

This record from the Alexandria database describes a geometry-optimized LaCe2RhN4 structure. The functional is PBE-GGA.

Structure (CIF):
```
data_LaCe2RhN4
_symmetry_space_group_name_H-M 'C m c m'
_symmetry_Int_Tables_number 63
_symmetry_space_group_name_Hall '-C 2c 2'
_cell_length_a 3.458
_cell_length_b 12.018
_cell_length_c 11.873
_cell_angle_alpha 90.00
_cell_angle_beta 90.00
_cell_angle_gamma 90.00
loop_
_atom_site_label
_atom_site_fract_x
_atom_site_fract_y
_atom_site_fract_z
_atom_site_occupancy
La1 0.000 0.108 0.250 1
Ce1 0.000 0.370 0.052 1
Rh1 0.000 0.153 0.750 1
N1 0.000 0.000 0.000 1
N2 0.000 0.271 0.617 1
N3 0.000 0.452 0.250 1
```

Formation energy without anion corrections ... -1.075 eV per atom

***

This record from the Alexandria database describes a geometry-optimized Pu2Si3Ir2 structure. The functional is PBE-GGA.

Structure (CIF):
```
data_Pu2Si3Ir2
_symmetry_space_group_name_H-M 'C m c m'
_symmetry_Int_Tables_number 63
_symmetry_space_group_name_Hall '-C 2c 2'
_cell_length_a 4.103
_cell_length_b 17.561
_cell_length_c 6.908
_cell_angle_alpha 90.00
_cell_angle_beta 90.00
_cell_angle_gamma 90.00
loop_
_atom_site_label
_atom_site_fract_x
_atom_site_fract_y
_atom_site_fract_z
_atom_site_occupancy
Pu1 0.000 0.054 0.250 1
Pu2 0.000 0.154 0.750 1
Si1 0.000 0.222 0.250 1
Si2 0.000 0.439 0.071 1
Ir1 0.000 0.308 0.547 1
```

Formation energy without anion corrections ... -0.661 eV per atom

***

This record from the Alexandria database describes a geometry-optimized Li6CaSn6 structure. The functional is PBE-GGA.

Structure (CIF):
```
data_Li6CaSn6
_symmetry_space_group_name_H-M 'I m m m'
_symmetry_Int_Tables_number 71
_symmetry_space_group_name_Hall '-I 2 2'
_cell_length_a 5.843
_cell_length_b 9.571
_cell_length_c 9.884
_cell_angle_alpha 90.00
_cell_angle_beta 90.00
_cell_angle_gamma 90.00
loop_
_atom_site_label
_atom_site_fract_x
_atom_site_fract_y
_atom_site_fract_z
_atom_site_occupancy
Li1 0.000 0.248 0.000 1
Li2 0.250 0.250 0.250 1
Ca1 0.000 0.500 0.500 1
Sn1 0.000 0.000 0.172 1
Sn2 0.000 0.151 0.500 1
Sn3 0.000 0.500 0.160 1
```

***

This record from the Alexandria database describes a geometry-optimized BaNi2Ag2 structure. The functional is PBE-GGA.

Structure (CIF):
```
data_BaNi2Ag2
_symmetry_space_group_name_H-M 'P 4/m b m'
_symmetry_Int_Tables_number 127
_symmetry_space_group_name_Hall '-P 4 2ab'
_cell_length_a 7.811
_cell_length_b 7.811
_cell_length_c 3.114
_cell_angle_alpha 90.00
_cell_angle_beta 90.00
_cell_angle_gamma 90.00
loop_
_atom_site_label
_atom_site_fract_x
_atom_site_fract_y
_atom_site_fract_z
_atom_site_occupancy
Ba1 0.000 0.000 0.000 1
Ni1 0.154 0.346 0.000 1
Ag1 0.135 0.635 0.500 1
```

***

This record from the Alexandria database describes a geometry-optimized Mg2MoRu structure. The functional is PBE-GGA.

Structure (CIF):
```
data_Mg2MoRu
_symmetry_space_group_name_H-M 'F m -3 m'
_symmetry_Int_Tables_number 225
_symmetry_space_group_name_Hall '-F 4 2 3'
_cell_length_a 6.417
_cell_length_b 6.417
_cell_length_c 6.417
_cell_angle_alpha 90.00
_cell_angle_beta 90.00
_cell_angle_gamma 90.00
loop_
_atom_site_label
_atom_site_fract_x
_atom_site_fract_y
_atom_site_fract_z
_atom_site_occupancy
Mg1 0.250 0.250 0.250 1
Mo1 0.000 0.000 0.000 1
Ru1 0.000 0.000 0.500 1
```

***

This record from the Alexandria database describes a geometry-optimized Pm2ScAlPt6 structure. The functional is PBE-GGA.

Structure (CIF):
```
data_Pm2ScAlPt6
_symmetry_space_group_name_H-M 'R -3 m'
_symmetry_Int_Tables_number 166
_symmetry_space_group_name_Hall '-R 3 2"'
_cell_length_a 5.6558
_cell_length_b 5.6558
_cell_length_c 24.3444
_cell_angle_alpha 90.00
_cell_angle_beta 90.00
_cell_angle_gamma 120.00
loop_
_atom_site_label
_atom_site_fract_x
_atom_site_fract_y
_atom_site_fract_z
_atom_site_occupancy
Pm1 0.0000 0.0000 0.2047 1
Sc1 0.0000 0.0000 0.0000 1
Al1 0.0000 0.0000 0.5000 1
Pt1 0.0010 0.5005 0.2442 1
```

***

This record from the Alexandria database describes a geometry-optimized La2Pm3Cd structure. The functional is PBE-GGA.

Structure (CIF):
```
data_La2Pm3Cd
_symmetry_space_group_name_H-M 'C 1 2/c 1'
_symmetry_Int_Tables_number 15
_cell_length_a 9.851
_cell_length_b 12.337
_cell_length_c 6.742
_cell_angle_alpha 90.00
_cell_angle_beta 99.84
_cell_angle_gamma 90.00
loop_
_symmetry_equiv_pos_as_xyz
'x,y,z'
'-x,-y,-z'
'-x,y,-z+1/2'
'x,-y,z+1/2'
'x+1/2,y+1/2,z'
'-x+1/2,-y+1/2,-z'
'-x+1/2,y+1/2,-z+1/2'
'x+1/2,-y+1/2,z+1/2'
loop_
_atom_site_label
_atom_site_fract_x
_atom_site_fract_y
_atom_site_fract_z
_atom_site_occupancy
La1 0.167 0.228 0.194 1
Pm1 0.000 0.060 0.750 1
Pm2 0.173 0.471 0.468 1
Cd1 0.000 0.323 0.750 1
```

***

This record from the Alexandria database describes a geometry-optimized NbZnGa2 structure. The functional is PBE-GGA.

Structure (CIF):
```
data_NbZnGa2
_symmetry_space_group_name_H-M 'I -4 2 d'
_symmetry_Int_Tables_number 122
_symmetry_space_group_name_Hall 'I -4 2bw'
_cell_length_a 7.051
_cell_length_b 7.051
_cell_length_c 5.520
_cell_angle_alpha 90.00
_cell_angle_beta 90.00
_cell_angle_gamma 90.00
loop_
_atom_site_label
_atom_site_fract_x
_atom_site_fract_y
_atom_site_fract_z
_atom_site_occupancy
Nb1 0.000 0.000 0.000 1
Zn1 0.000 0.000 0.500 1
Ga1 0.224 0.250 0.625 1
```

***

This record from the Alexandria database describes a geometry-optimized ZrCuS3 structure. The functional is PBE-GGA.

Structure (CIF):
```
data_ZrCuS3
_symmetry_space_group_name_H-M 'P m -3 m'
_symmetry_Int_Tables_number 221
_symmetry_space_group_name_Hall '-P 4 2 3'
_cell_length_a 4.958
_cell_length_b 4.958
_cell_length_c 4.958
_cell_angle_alpha 90.00
_cell_angle_beta 90.00
_cell_angle_gamma 90.00
loop_
_atom_site_label
_atom_site_fract_x
_atom_site_fract_y
_atom_site_fract_z
_atom_site_occupancy
Zr1 0.000 0.000 0.000 1
Cu1 0.500 0.500 0.500 1
S1 0.000 0.000 0.500 1
```

Formation energy without anion corrections ... -0.161 eV per atom

***

This record from the Alexandria database describes a geometry-optimized Sc2MnCl structure. The functional is PBE-GGA.

Structure (CIF):
```
data_Sc2MnCl
_symmetry_space_group_name_H-M 'I m m m'
_symmetry_Int_Tables_number 71
_symmetry_space_group_name_Hall '-I 2 2'
_cell_length_a 3.369
_cell_length_b 5.667
_cell_length_c 8.698
_cell_angle_alpha 90.00
_cell_angle_beta 90.00
_cell_angle_gamma 90.00
loop_
_atom_site_label
_atom_site_fract_x
_atom_site_fract_y
_atom_site_fract_z
_atom_site_occupancy
Sc1 0.000 0.000 0.231 1
Mn1 0.000 0.500 0.000 1
Cl1 0.000 0.500 0.500 1
```

Formation energy without anion corrections ... -0.151 eV per atom

***

This record from the Alexandria database describes a geometry-optimized KCaMn2Te structure. The functional is PBE-GGA.

Structure (CIF):
```
data_KCaMn2Te
_symmetry_space_group_name_H-M 'P 4/m m m'
_symmetry_Int_Tables_number 123
_symmetry_space_group_name_Hall '-P 4 2'
_cell_length_a 5.227
_cell_length_b 5.227
_cell_length_c 6.108
_cell_angle_alpha 90.00
_cell_angle_beta 90.00
_cell_angle_gamma 90.00
loop_
_atom_site_label
_atom_site_fract_x
_atom_site_fract_y
_atom_site_fract_z
_atom_site_occupancy
K1 0.000 0.000 0.000 1
Ca1 0.000 0.000 0.500 1
Mn1 0.000 0.500 0.000 1
Te1 0.500 0.500 0.500 1
```

Formation energy without anion corrections ... 1.397 eV per atom

***

| no. | calculated total energy (eV/atom) |
| --- | --- |
| 1 | -4.1375 |
| 2 | -8.2557 |
| 3 | -9.6121 |
| 4 | -3.2473 |
| 5 | -3.5746 |
| 6 | -5.2972 |
| 7 | -6.5041 |
| 8 | -4.1677 |
| 9 | -4.2513 |
| 10 | -5.1661 |
| 11 | -6.0710 |
| 12 | -3.5187 |